Record 1
Below is NpAl3 after structural relaxation, with properties calculated at the PBE-GGA level.

Results
Spin magnetization, μB per cell: 4.05
Calculated total energy, eV per cell: -23.81

a = 5.1349 Å, b = 5.1349 Å, c = 5.1349 Å
α = 130.05°, β = 130.05°, γ = 73.33°
With the nearest neighbours (Å) after each atom.
Fractional coordinates of all 4 atoms:
Al: 0.5000 0.5000 0.0000  8 Al 2.99, 4 Np 3.07
Al: 0.7500 0.2500 0.5000  4 Np 2.99, 8 Al 2.99-3.07
Al: 0.2500 0.7500 0.5000  4 Np 2.99, 8 Al 2.99-3.07
Np: 0.0000 0.0000 0.0000  12 Al 2.99-3.07

***

Record 2
Below is NpAl3 after structural relaxation, with properties calculated at the PBE-GGA level.

Results
Spin magnetization, μB per cell: 7.98
Calculated total energy, eV per cell: -49.05

a = 6.1450 Å, b = 6.1450 Å, c = 4.6808 Å
α = 90.00°, β = 90.00°, γ = 120.00°
With the nearest neighbours (Å) after each atom.
Fractional coordinates of all 8 atoms:
Al: 0.1539 0.3078 0.2500  6 Al 2.84-2.86, 4 Np 3.02-3.08
Al: 0.1539 0.8461 0.2500  6 Al 2.84-2.86, 4 Np 3.02-3.08
Al: 0.6922 0.8461 0.2500  6 Al 2.84-2.86, 4 Np 3.02-3.08
Al: 0.3078 0.1539 0.7500  6 Al 2.84-2.86, 4 Np 3.02-3.08
Al: 0.8461 0.1539 0.7500  6 Al 2.84-2.86, 4 Np 3.02-3.08
Al: 0.8461 0.6922 0.7500  6 Al 2.84-2.86, 4 Np 3.02-3.08
Np: 0.6667 0.3333 0.2500  12 Al 3.02-3.08
Np: 0.3333 0.6667 0.7500  12 Al 3.02-3.08

***

Record 3
Below is NpPaAl after structural relaxation, with properties calculated at the PBE-GGA level.

Results
Distance to the lowest polymorph of the same formula, meV per atom: 0.0
Spin magnetization, μB per cell: 6.63
Calculated total energy, eV per cell: -24.15

a = 4.7350 Å, b = 4.7350 Å, c = 4.7350 Å
α = 60.00°, β = 60.00°, γ = 60.00°
With the nearest neighbours (Å) after each atom.
Fractional coordinates of all 3 atoms:
Al: 0.5000 0.5000 0.5000  4 Np 2.90
Np: 0.2500 0.2500 0.2500  4 Pa 2.90, 4 Al 2.90
Pa: 0.0000 0.0000 0.0000  4 Np 2.90

***

Record 4
Below is NpAlPd after structural relaxation, with properties calculated at the PBE-GGA level.

Results
Spin magnetization, μB per cell: 4.25
Calculated total energy, eV per cell: -21.84

a = 4.5199 Å, b = 4.5199 Å, c = 4.5199 Å
α = 60.00°, β = 60.00°, γ = 60.00°
With the nearest neighbours (Å) after each atom.
Fractional coordinates of all 3 atoms:
Al: 0.2500 0.2500 0.2500  4 Pd 2.77
Np: 0.7500 0.7500 0.7500  4 Pd 2.77
Pd: 0.0000 0.0000 0.0000  4 Np 2.77, 4 Al 2.77

***

Record 5
Below is PrNpAl after structural relaxation, with properties calculated at the PBE-GGA level.

Results
Distance to the lowest polymorph of the same formula, meV per atom: 0.0
Spin magnetization, μB per cell: 4.93
Calculated total energy, eV per cell: -19.75

a = 4.9871 Å, b = 4.9871 Å, c = 4.9871 Å
α = 60.00°, β = 60.00°, γ = 60.00°
With the nearest neighbours (Å) after each atom.
Fractional coordinates of all 3 atoms:
Al: 0.0000 0.0000 0.0000  4 Pr 3.05, 4 Np 3.05
Np: 0.2500 0.2500 0.2500  4 Al 3.05
Pr: 0.7500 0.7500 0.7500  4 Al 3.05

***

Record 6
Below is NpAlPt after structural relaxation, with properties calculated at the PBE-GGA level.

Results
Spin magnetization, μB per cell: 4.19
Calculated total energy, eV per cell: -23.71

a = 4.6060 Å, b = 4.6060 Å, c = 4.6060 Å
α = 60.00°, β = 60.00°, γ = 60.00°
With the nearest neighbours (Å) after each atom.
Fractional coordinates of all 3 atoms:
Al: 0.2500 0.2500 0.2500  4 Pt 2.82
Np: 0.7500 0.7500 0.7500  4 Pt 2.82
Pt: 0.0000 0.0000 0.0000  4 Al 2.82, 4 Np 2.82

***

Record 7
Below is PuNpAl after structural relaxation, with properties calculated at the PBE-GGA level.

Results
Distance to the lowest polymorph of the same formula, meV per atom: 0.0
Spin magnetization, μB per cell: 10.05
Calculated total energy, eV per cell: -28.93

a = 4.6769 Å, b = 4.6769 Å, c = 4.6769 Å
α = 60.00°, β = 60.00°, γ = 60.00°
With the nearest neighbours (Å) after each atom.
Fractional coordinates of all 3 atoms:
Al: 0.0000 0.0000 0.0000  4 Pu 2.86, 4 Np 2.86
Np: 0.2500 0.2500 0.2500  4 Al 2.86
Pu: 0.7500 0.7500 0.7500  4 Al 2.86

***

Record 8
Below is NpAlRe after structural relaxation, with properties calculated at the PBE-GGA level.

Results
Distance to the lowest polymorph of the same formula, meV per atom: 0.0
Spin magnetization, μB per cell: 3.07
Calculated total energy, eV per cell: -28.00

a = 4.4622 Å, b = 4.4622 Å, c = 4.4622 Å
α = 60.00°, β = 60.00°, γ = 60.00°
With the nearest neighbours (Å) after each atom.
Fractional coordinates of all 3 atoms:
Al: 0.0000 0.0000 0.0000  4 Re 2.73
Np: 0.5000 0.5000 0.5000  4 Re 2.73
Re: 0.2500 0.2500 0.2500  4 Np 2.73, 4 Al 2.73

***

Record 9
Below is Np3AlS6 after structural relaxation, with properties calculated at the PBE-GGA level.

Results
Spin magnetization, μB per cell: 24.00
Calculated total energy, eV per cell: -160.69

a = 8.4763 Å, b = 8.4763 Å, c = 6.4749 Å
α = 90.00°, β = 90.00°, γ = 102.20°
With the nearest neighbours (Å) after each atom.
Fractional coordinates of all 20 atoms:
Al: 0.8015 0.1985 0.0247  4 S 2.25-2.29
Al: 0.1985 0.8015 0.5247  4 S 2.25-2.29
Np: 0.6009 0.3991 0.3969  7 S 2.72-3.00
Np: 0.0840 0.2798 0.4782  7 S 2.68-2.91
Np: 0.7202 0.9160 0.4782  7 S 2.68-2.91
Np: 0.3991 0.6009 0.8969  7 S 2.72-3.00
Np: 0.2798 0.0840 0.9782  7 S 2.68-2.91
Np: 0.9160 0.7202 0.9782  7 S 2.68-2.91
S: 0.9614 0.0386 0.1644  1 Al 2.29
S: 0.2185 0.7815 0.1788  1 Al 2.25
S: 0.3116 0.3677 0.1878  4 Np 2.68-2.76
S: 0.6323 0.6884 0.1878  4 Np 2.68-2.76
S: 0.5681 0.0975 0.1942  1 Al 2.27
S: 0.9025 0.4319 0.1942  1 Al 2.27
S: 0.0386 0.9614 0.6644  1 Al 2.29
S: 0.7815 0.2185 0.6789  1 Al 2.25
S: 0.3677 0.3116 0.6878  4 Np 2.68-2.76
S: 0.6884 0.6323 0.6878  4 Np 2.68-2.76
S: 0.0975 0.5681 0.6942  1 Al 2.27
S: 0.4319 0.9025 0.6942  1 Al 2.27

***

Record 10
Below is NpScAl after structural relaxation, with properties calculated at the PBE-GGA level.

Results
Distance to the lowest polymorph of the same formula, meV per atom: 0.0
Spin magnetization, μB per cell: 5.50
Calculated total energy, eV per cell: -21.41

a = 4.8358 Å, b = 4.8358 Å, c = 4.8358 Å
α = 60.00°, β = 60.00°, γ = 60.00°
With the nearest neighbours (Å) after each atom.
Fractional coordinates of all 3 atoms:
Al: 0.0000 0.0000 0.0000  4 Sc 2.96, 4 Np 2.96
Np: 0.2500 0.2500 0.2500  4 Al 2.96
Sc: 0.7500 0.7500 0.7500  4 Al 2.96

***

Record 11
Below is NpAlSi after structural relaxation, with properties calculated at the PBE-GGA level.

Results
Spin magnetization, μB per cell: 4.03
Calculated total energy, eV per cell: -20.48

a = 4.6575 Å, b = 4.6575 Å, c = 4.6575 Å
α = 60.00°, β = 60.00°, γ = 60.00°
With the nearest neighbours (Å) after each atom.
Fractional coordinates of all 3 atoms:
Al: 0.2500 0.2500 0.2500  4 Np 2.85
Np: 0.0000 0.0000 0.0000  4 Si 2.85, 4 Al 2.85
Si: 0.7500 0.7500 0.7500  4 Np 2.85

***

Record 12
Below is NpAlSi after structural relaxation, with properties calculated at the PBE-GGA level.

Results
Spin magnetization, μB per cell: 4.47
Calculated total energy, eV per cell: -21.74

a = 4.4631 Å, b = 4.4631 Å, c = 4.4631 Å
α = 60.00°, β = 60.00°, γ = 60.00°
With the nearest neighbours (Å) after each atom.
Fractional coordinates of all 3 atoms:
Al: 0.2500 0.2500 0.2500  4 Si 2.73
Np: 0.7500 0.7500 0.7500  4 Si 2.73
Si: 0.0000 0.0000 0.0000  4 Np 2.73, 4 Al 2.73